VASP calculation (PBE-GGA) on a relaxed structure of AlSiSe2.

```
4
Lattice="-0.251 -3.132 -3.544 3.706 -0.614 -2.884 2.517 -4.007 0.199" Properties=species:S:1:pos:R:3 pbc="T T T"
Si 4.480 -5.815 -4.672
Al 2.986 -3.877 -3.115
Se 0.000 0.000 0.000
Se 1.493 -1.938 -1.557
```

Properties
The calculation puts the total energy at -3.58 eV/atom. As for the energy above the most stable polymorph in this dataset: 825.5 meV per atom. Its total magnetization is 0.00 Bohr magnetons per cell. Its energy relative to the elements, uncorrected is 0.46 eV per atom.



VASP calculation (PBE-GGA) on a relaxed structure of Tb9ErIn2.

```
12
Lattice="4.884 0.000 0.000 0.000 4.884 0.000 0.000 0.000 14.937" Properties=species:S:1:pos:R:3 pbc="T T T"
Tb 2.442 2.442 0.000
Tb 2.442 2.442 5.024
Tb 2.442 2.442 9.913
Tb 2.442 0.000 2.566
Tb 2.442 0.000 7.468
Tb 2.442 0.000 12.371
Tb 0.000 2.442 2.566
Tb 0.000 2.442 7.468
Tb 0.000 2.442 12.371
Er 0.000 0.000 0.000
In 0.000 0.000 5.067
In 0.000 0.000 9.870
```

Properties
The calculation puts the total energy at -4.48 eV/atom. Its total magnetization is 0.00 Bohr magnetons per cell.



VASP calculation (PBE-GGA) on a relaxed structure of HoLuGaRu.

```
4
Lattice="-0.142 3.562 3.313 -4.283 1.765 1.493 -1.578 -0.932 4.509" Properties=species:S:1:pos:R:3 pbc="T T T"
Ru -4.502 3.296 6.986
Lu 0.000 0.000 0.000
Ho -3.001 2.197 4.658
Ga -1.501 1.099 2.329
```

Properties
The calculation puts the total energy at -5.85 eV/atom. Its total magnetization is 0.00 Bohr magnetons per cell.